! Co2NiPd2 GGA-PBE relaxed; values from VASP
! DFT formation energy: 198 meV/atom
! SG: P-1, No. 2
&SYSTEM
  ibrav = 0, nat = 5, ntyp = 3
/
ATOMIC_SPECIES
Co 58.93 Co.upf
Ni 58.69 Ni.upf
Pd 106.42 Pd.upf
CELL_PARAMETERS angstrom
4.0171 0.0000 0.0000
1.6892 4.2086 0.0000
1.6026 1.6561 4.0183
ATOMIC_POSITIONS crystal
Co 0.0111 0.2193 0.2564
Co 0.9889 0.7807 0.7436
Ni 0.5000 0.5000 0.0000
Pd 0.3325 0.2088 0.6778
Pd 0.6675 0.7912 0.3222

! SrAg2Pb GGA-PBE relaxed; values from VASP
! DFT formation energy: -153 meV/atom
! SG: Pmmm, No. 47
&SYSTEM
  ibrav = 0, nat = 4, ntyp = 3
/
ATOMIC_SPECIES
Sr 87.62 Sr.upf
Ag 107.87 Ag.upf
Pb 207.20 Pb.upf
CELL_PARAMETERS angstrom
3.8232 0.0000 0.0000
0.0000 4.9813 0.0000
0.0000 0.0000 5.9325
ATOMIC_POSITIONS crystal
Sr 0.0000 0.0000 0.0000
Ag 0.5000 0.5000 0.2394
Ag 0.5000 0.5000 0.7606
Pb 0.5000 0.0000 0.5000

! Tm2AlSi2 GGA-PBE relaxed; values from VASP
! Total DFT energy (no corrections): -27.08 eV for the cell shown
! SG: Immm, No. 71
&SYSTEM
  ibrav = 0, nat = 5, ntyp = 3
/
ATOMIC_SPECIES
Tm 168.93 Tm.upf
Al 26.98 Al.upf
Si 28.09 Si.upf
CELL_PARAMETERS angstrom
-2.0239 2.8437 4.2691
2.0239 -2.8437 4.2691
2.0239 2.8437 -4.2691
ATOMIC_POSITIONS crystal
Tm 0.2106 0.2106 0.0000
Tm 0.7894 0.7894 0.0000
Al 0.5000 0.0000 0.5000
Si 0.2108 0.5000 0.7108
Si 0.7892 0.5000 0.2892